# 1
First-principles (PBE) data for a geometry-optimized ReGe2Au structure, as listed in Alexandria.

Structure (POSCAR):
```
ReGe2Au
1.0
3.0400 0.0000 0.0000
-1.5200 2.6327 0.0000
0.0000 0.0000 26.5213
Re Ge Au
3 6 3
Cartesian
0.0000 0.0000 0.0000
0.0000 1.7551 17.6809
1.5200 0.8776 8.8404
0.0000 0.0000 10.7432
0.0000 0.0000 15.7781
0.0000 1.7551 1.9028
0.0000 1.7551 6.9377
1.5200 0.8776 19.5836
1.5200 0.8776 24.6185
0.0000 0.0000 13.2606
0.0000 1.7551 4.4202
1.5200 0.8776 22.1011
```

## Properties
- Polymorph energy (0 for the lowest one): 0.0 meV per atom
- N(E_F): 6.29 states/eV per cell
- E_form: 0.098 eV per atom
- Space-group type: R-3m, No. 166


# 2
First-principles (PBE) data for a geometry-optimized BeSiSb2 structure, as listed in Alexandria.

Structure (POSCAR):
```
BeSiSb2
1.0
3.7228 0.0000 0.0000
0.0000 4.0926 0.0000
0.0000 0.0000 5.4258
Be Si Sb
1 1 2
Cartesian
0.0000 0.0000 0.0000
0.0000 2.0463 2.7129
1.8614 0.0000 2.7129
1.8614 2.0463 0.0000
```

## Properties
- VASP energy: -0.1356 Ha/atom
- N(E_F): 2.25 states/eV per cell
- Space-group type: Pmmm, No. 47


# 3
First-principles (PBE) data for a geometry-optimized Li4AlSi structure, as listed in Alexandria.

Structure (POSCAR):
```
Li4AlSi
1.0
4.4064 0.0000 0.0000
-2.2032 3.8160 0.0000
0.0000 0.0000 5.2092
Li Al Si
4 1 1
Cartesian
0.0000 2.5440 1.2458
0.0000 2.5440 3.9634
2.2032 1.2720 1.2458
2.2032 1.2720 3.9634
0.0000 0.0000 2.6046
0.0000 0.0000 0.0000
```

## Properties
- Polymorph energy (0 for the lowest one): 0.0 meV per atom
- N(E_F): 1.80 states/eV per cell
- Space-group type: P6/mmm, No. 191


# 4
First-principles (PBE) data for a geometry-optimized Cs5In2Te5 structure, as listed in Alexandria.

Structure (POSCAR):
```
Cs5In2Te5
1.0
8.6481 -2.5944 0.0000
8.6481 2.5944 0.0000
-2.3177 0.0000 13.0282
Cs In Te
5 2 5
Cartesian
0.0000 0.0000 0.0000
1.1625 0.0000 7.7522
2.8018 0.0000 11.3896
12.1767 0.0000 1.6387
13.8160 0.0000 5.2761
6.4058 0.0000 9.2216
8.5728 0.0000 3.8067
1.4389 0.0000 3.7201
6.3623 0.0000 2.0056
7.4893 0.0000 6.5141
8.6162 0.0000 11.0226
13.5396 0.0000 9.3082
```

## Properties
- VASP energy: -0.1080 Ha/atom
- N(E_F): 2.42 states/eV per cell
- Space-group type: C2/m, No. 12


# 5
First-principles (PBE) data for a geometry-optimized LaY2Ni structure, as listed in Alexandria.

Structure (POSCAR):
```
LaY2Ni
1.0
7.3465 0.0000 0.0000
0.0000 7.3465 0.0000
0.0000 0.0000 7.3465
La Y Ni
4 8 4
Cartesian
0.0000 0.0000 0.0000
0.0000 3.6732 3.6732
3.6732 0.0000 3.6732
3.6732 3.6732 0.0000
1.8366 1.8366 1.8366
1.8366 1.8366 5.5099
1.8366 5.5099 1.8366
1.8366 5.5099 5.5099
5.5099 1.8366 1.8366
5.5099 1.8366 5.5099
5.5099 5.5099 1.8366
5.5099 5.5099 5.5099
0.0000 0.0000 3.6732
0.0000 3.6732 0.0000
3.6732 0.0000 0.0000
3.6732 3.6732 3.6732
```

## Properties
- Polymorph energy (0 for the lowest one): 433.6 meV per atom
- N(E_F): 23.06 states/eV per cell
- E_form: 0.217 eV per atom
- Space-group type: Fm-3m, No. 225


# 6
First-principles (PBE) data for a geometry-optimized NaNb4WN8 structure, as listed in Alexandria.

Structure (POSCAR):
```
NaNb4WN8
1.0
3.0951 1.7869 5.2489
-3.0951 1.7869 5.2489
0.0000 -3.5739 5.2489
Na Nb W N
1 4 1 8
Cartesian
0.0000 0.0000 0.0000
0.0000 1.7834 13.1255
1.5445 -0.8917 13.1255
-1.5445 -0.8917 13.1255
0.0000 0.0000 9.8135
0.0000 0.0000 5.9521
-1.5517 -0.8959 9.0221
0.0000 0.0000 3.9982
0.0000 -1.7379 6.6615
-1.5051 0.8690 6.6615
1.5517 -0.8959 9.0221
0.0000 1.7917 9.0221
1.5051 0.8690 6.6615
0.0000 0.0000 11.8788
```

## Properties
- VASP energy: -0.3400 Ha/atom
- N(E_F): 5.12 states/eV per cell
- Space-group type: R3m, No. 160


Quick rundown of spin magnetization, same order as above: 0.000; 0.000; 0.000; 0.000; 3.862; 0.000 Bohr magnetons per cell